# Sc2BAs | the Alexandria database | PBEsol | relaxed
# Calculated formation energy   -0.34 eV/f.u.
data_Sc2BAs
_chemical_formula_sum 'Sc6 B3 As3'
_cell_length_a 3.4274
_cell_length_b 3.4274
_cell_length_c 23.8633
_cell_angle_alpha 90.00
_cell_angle_beta 90.00
_cell_angle_gamma 120.00
_space_group_name_H-M_alt 'R -3 m'
_space_group_IT_number 166
_space_group_name_Hall '-R 3 2"'
loop_
_atom_site_label
_atom_site_fract_x
_atom_site_fract_y
_atom_site_fract_z
Sc1 0.0000 0.0000 0.1127
B1 0.0000 0.0000 0.5000
As1 0.0000 0.0000 0.0000

# Y2TcW | the Alexandria database | PBEsol | relaxed
# Calculated formation energy   0.74 eV/f.u.
data_Y2TcW
_chemical_formula_sum 'Y4 Tc2 W2'
_cell_length_a 3.3565
_cell_length_b 4.9890
_cell_length_c 10.1038
_cell_angle_alpha 90.00
_cell_angle_beta 90.00
_cell_angle_gamma 90.00
_space_group_name_H-M_alt 'I m m 2'
_space_group_IT_number 44
_space_group_name_Hall 'I 2 -2'
loop_
_atom_site_label
_atom_site_fract_x
_atom_site_fract_y
_atom_site_fract_z
Y1 0.0000 0.0000 0.0000
Y2 0.0000 0.5000 0.2196
Tc1 0.0000 0.5000 0.7602
W1 0.0000 0.0000 0.4373